## w
VASP calculation (PBE-GGA) on crystalline BaLiTlAu at its relaxed geometry.

Lattice parameters (Å, degrees): 4.810 4.810 6.480 111.97 111.97 60.08
Fractional positions:
1 Ba 0.000 0.000 0.000
2 Li 0.521 0.521 0.563
3 Tl 0.797 0.797 0.390
4 Au 0.200 0.200 0.597

Output
space-group type = Cm (8)
spin magnetization = 0.00 μB/f.u.

## x
VASP calculation (PBE-GGA) on crystalline BaLiTlAu at its relaxed geometry.

Lattice parameters (Å, degrees): 5.374 5.374 5.374 60.00 60.00 60.00
Fractional positions:
1 Ba 0.000 0.000 0.000
2 Li 0.250 0.250 0.250
3 Tl 0.500 0.500 0.500
4 Au 0.750 0.750 0.750

Output
space-group type = F-43m (216)
spin magnetization = 0.01 μB/f.u.

Which one is most stable, and which one is least stable? w is the most stable of them, while x is the least stable.

## w
VASP calculation (PBE-GGA) on crystalline BaLiZnAu2 at its relaxed geometry.

Lattice parameters (Å, degrees): 6.883 6.883 6.883 142.89 142.89 53.48
Fractional positions:
1 Ba 0.000 0.000 0.000
2 Li 0.750 0.250 0.500
3 Zn 0.250 0.750 0.500
4 Au 0.379 0.379 0.000
5 Au 0.621 0.621 0.000

Output
space-group type = I-4m2 (119)
spin magnetization = 0.00 μB/f.u.

## x
VASP calculation (PBE-GGA) on crystalline BaLiZnAu2 at its relaxed geometry.

Lattice parameters (Å, degrees): 5.111 5.111 4.817 90.00 90.00 90.00
Fractional positions:
1 Ba 0.000 0.000 0.000
2 Li 0.500 0.500 0.000
3 Zn 0.500 0.500 0.500
4 Au 0.000 0.500 0.500
5 Au 0.500 0.000 0.500

Output
space-group type = P4/mmm (123)
spin magnetization = 0.00 μB/f.u.

Which one is most stable, and which one is least stable? w is the most stable of them, while x is the least stable.

## w
VASP calculation (PBE-GGA) on crystalline BaMg3Au at its relaxed geometry.

Lattice parameters (Å, degrees): 6.994 6.994 6.994 90.00 90.00 90.00
Fractional positions:
1 Ba 0.000 0.000 0.000
2 Mg 0.000 0.000 0.500
3 Mg 0.000 0.500 0.000
4 Mg 0.500 0.000 0.000
5 Au 0.500 0.500 0.500

Output
space-group type = Pm-3m (221)
spin magnetization = 0.00 μB/f.u.

## x
VASP calculation (PBE-GGA) on crystalline BaMg3Au at its relaxed geometry.

Lattice parameters (Å, degrees): 7.281 7.281 6.094 90.00 90.00 120.00
Fractional positions:
1 Ba 0.333 0.667 0.250
2 Ba 0.667 0.333 0.750
3 Mg 0.182 0.365 0.750
4 Mg 0.182 0.818 0.750
5 Mg 0.365 0.182 0.250
6 Mg 0.635 0.818 0.750
7 Mg 0.818 0.182 0.250
8 Mg 0.818 0.635 0.250
9 Au 0.000 0.000 0.000
10 Au 0.000 0.000 0.500

Output
space-group type = P6_3/mmc (194)
spin magnetization = 0.00 μB/f.u.

## y
VASP calculation (PBE-GGA) on crystalline BaMg3Au at its relaxed geometry.

Lattice parameters (Å, degrees): 6.148 6.502 7.551 90.00 113.01 90.00
Fractional positions:
1 Ba 0.206 0.250 0.151
2 Ba 0.794 0.750 0.849
3 Mg 0.235 0.012 0.698
4 Mg 0.235 0.488 0.698
5 Mg 0.304 0.750 0.376
6 Mg 0.696 0.250 0.624
7 Mg 0.765 0.512 0.302
8 Mg 0.765 0.988 0.302
9 Au 0.382 0.750 0.038
10 Au 0.618 0.250 0.962

Output
space-group type = P2_1/m (11)
spin magnetization = 0.00 μB/f.u.

## z
VASP calculation (PBE-GGA) on crystalline BaMg3Au at its relaxed geometry.

Lattice parameters (Å, degrees): 5.267 5.267 5.267 90.00 90.00 90.00
Fractional positions:
1 Ba 0.000 0.000 0.000
2 Mg 0.000 0.500 0.500
3 Mg 0.500 0.000 0.500
4 Mg 0.500 0.500 0.000
5 Au 0.500 0.500 0.500

Output
space-group type = Pm-3m (221)
spin magnetization = 0.72 μB/f.u.

Which one is most stable, and which one is least stable? y is the most stable of them, while w is the least stable.

## w
VASP calculation (PBE-GGA) on crystalline Ba3Mg4Au4 at its relaxed geometry.

Lattice parameters (Å, degrees): 7.460 7.460 7.460 109.47 109.47 109.47
Fractional positions:
1 Ba 0.000 0.500 0.500
2 Ba 0.500 0.000 0.500
3 Ba 0.500 0.500 0.000
4 Mg 0.000 0.000 0.736
5 Mg 0.000 0.736 0.000
6 Mg 0.264 0.264 0.264
7 Mg 0.736 0.000 0.000
8 Au 0.000 0.000 0.370
9 Au 0.000 0.370 0.000
10 Au 0.370 0.000 0.000
11 Au 0.630 0.630 0.630

Output
space-group type = I-43m (217)
spin magnetization = 0.00 μB/f.u.

## x
VASP calculation (PBE-GGA) on crystalline Ba3Mg4Au4 at its relaxed geometry.

Lattice parameters (Å, degrees): 9.306 9.306 9.306 151.94 125.43 62.47
Fractional positions:
1 Ba 0.000 0.000 0.000
2 Ba 0.382 0.882 0.500
3 Ba 0.618 0.118 0.500
4 Mg 0.010 0.321 0.689
5 Mg 0.367 0.679 0.689
6 Mg 0.633 0.321 0.311
7 Mg 0.990 0.679 0.311
8 Au 0.224 0.224 0.000
9 Au 0.288 0.500 0.788
10 Au 0.712 0.500 0.212
11 Au 0.776 0.776 0.000

Output
space-group type = Immm (71)
spin magnetization = 0.00 μB/f.u.

Which one is most stable, and which one is least stable? x is the most stable of them, while w is the least stable.

## w
VASP calculation (PBE-GGA) on crystalline Ba4MgAu at its relaxed geometry.

Lattice parameters (Å, degrees): 7.303 7.303 7.303 60.00 60.00 60.00
Fractional positions:
1 Ba 0.376 0.376 0.376
2 Ba 0.376 0.376 0.873
3 Ba 0.376 0.873 0.376
4 Ba 0.873 0.376 0.376
5 Mg 0.000 0.000 0.000
6 Au 0.750 0.750 0.750

Output
space-group type = F-43m (216)
spin magnetization = 0.77 μB/f.u.

## x
VASP calculation (PBE-GGA) on crystalline Ba4MgAu at its relaxed geometry.

Lattice parameters (Å, degrees): 6.654 8.781 9.696 90.00 101.33 90.00
Fractional positions:
1 Ba 0.119 0.250 0.061
2 Ba 0.217 0.750 0.363
3 Ba 0.339 0.517 0.757
4 Ba 0.339 0.983 0.757
5 Ba 0.661 0.017 0.243
6 Ba 0.661 0.483 0.243
7 Ba 0.783 0.250 0.637
8 Ba 0.881 0.750 0.939
9 Mg 0.225 0.250 0.433
10 Mg 0.775 0.750 0.567
11 Au 0.393 0.750 0.042
12 Au 0.607 0.250 0.958

Output
space-group type = P2_1/m (11)
spin magnetization = 0.00 μB/f.u.

Which one is most stable, and which one is least stable? x is the most stable of them, while w is the least stable.

## w
VASP calculation (PBE-GGA) on crystalline RbBa2MgAu at its relaxed geometry.

Lattice parameters (Å, degrees): 6.562 6.562 5.487 90.00 90.00 90.00
Fractional positions:
1 Rb 0.000 0.000 0.000
2 Ba 0.000 0.500 0.500
3 Ba 0.500 0.000 0.500
4 Mg 0.500 0.500 0.000
5 Au 0.500 0.500 0.500

Output
space-group type = P4/mmm (123)
spin magnetization = 0.45 μB/f.u.

## x
VASP calculation (PBE-GGA) on crystalline RbBa2MgAu at its relaxed geometry.

Lattice parameters (Å, degrees): 6.375 6.375 6.557 90.00 90.00 90.00
Fractional positions:
1 Rb 0.000 0.000 0.000
2 Ba 0.000 0.500 0.500
3 Ba 0.500 0.000 0.500
4 Mg 0.500 0.500 0.000
5 Au 0.000 0.000 0.500

Output
space-group type = P4/mmm (123)
spin magnetization = 0.00 μB/f.u.

Which one is most stable, and which one is least stable? w is the most stable of them, while x is the least stable.

## w
VASP calculation (PBE-GGA) on crystalline Ba2SrMgAu at its relaxed geometry.

Lattice parameters (Å, degrees): 6.365 6.365 6.119 90.00 90.00 90.00
Fractional positions:
1 Ba 0.000 0.500 0.000
2 Ba 0.500 0.000 0.000
3 Sr 0.000 0.000 0.500
4 Mg 0.500 0.500 0.500
5 Au 0.000 0.000 0.000

Output
space-group type = P4/mmm (123)
spin magnetization = 0.00 μB/f.u.

## x
VASP calculation (PBE-GGA) on crystalline Ba2SrMgAu at its relaxed geometry.

Lattice parameters (Å, degrees): 6.491 6.491 5.364 90.00 90.00 90.00
Fractional positions:
1 Ba 0.000 0.500 0.000
2 Ba 0.500 0.000 0.000
3 Sr 0.000 0.000 0.500
4 Mg 0.500 0.500 0.500
5 Au 0.500 0.500 0.000

Output
space-group type = P4/mmm (123)
spin magnetization = 0.00 μB/f.u.

Which one is most stable, and which one is least stable? x is the most stable of them, while w is the least stable.

## w
VASP calculation (PBE-GGA) on crystalline BaMnAu3 at its relaxed geometry.

Lattice parameters (Å, degrees): 6.084 6.084 6.084 90.00 90.00 90.00
Fractional positions:
1 Ba 0.000 0.000 0.000
2 Mn 0.500 0.500 0.500
3 Au 0.000 0.000 0.500
4 Au 0.000 0.500 0.000
5 Au 0.500 0.000 0.000

Output
space-group type = Pm-3m (221)
spin magnetization = 5.98 μB/f.u.

## x
VASP calculation (PBE-GGA) on crystalline BaMnAu3 at its relaxed geometry.

Lattice parameters (Å, degrees): 5.120 5.120 5.120 90.00 90.00 90.00
Fractional positions:
1 Ba 0.000 0.000 0.000
2 Mn 0.500 0.500 0.500
3 Au 0.000 0.500 0.500
4 Au 0.500 0.000 0.500
5 Au 0.500 0.500 0.000

Output
space-group type = Pm-3m (221)
spin magnetization = 4.18 μB/f.u.

Which one is most stable, and which one is least stable? x is the most stable of them, while w is the least stable.